A geometry-optimized Ca5Zn3 structure, computed with PBE.

Unit cell a=3.691 b=3.691 c=16.977 alpha=90.00 beta=90.00 gamma=90.00
Atoms (fractional coordinates):
Zn  0.500  0.500  0.889
Zn  0.000  0.000  0.500
Zn  0.500  0.500  0.111
Ca  0.500  0.500  0.393
Ca  0.000  0.000  0.215
Ca  0.000  0.000  0.785
Ca  0.000  0.000  0.000
Ca  0.500  0.500  0.607

Summary:
Theoretical density = 2848 kg/m3
Energy = -15.4 eV/cell
Distance to the lowest polymorph of the same formula = 0.000 eV per atom
E_form = -0.19 eV/atom